VASP calculation (GGA-PBE) on a relaxed Mg5H12Pd3 crystal.

Density of states at the Fermi level   3.7 states/eV/f.u.
Calculated total energy   -249.44 eV/cell

a = 10.255 Å, b = 10.255 Å, c = 10.255 Å
α = 109.47°, β = 109.47°, γ = 109.47°
Positions (direct):
Mg (0.000, 0.000, 0.000)
Mg (0.000, 0.000, 0.500)
Mg (0.000, 0.500, 0.000)
Mg (0.000, 0.500, 0.500)
Mg (0.125, 0.750, 0.875)
Mg (0.125, 0.875, 0.250)
Mg (0.250, 0.125, 0.875)
Mg (0.250, 0.625, 0.375)
Mg (0.375, 0.250, 0.625)
Mg (0.375, 0.625, 0.750)
Mg (0.500, 0.000, 0.000)
Mg (0.500, 0.000, 0.500)
Mg (0.500, 0.500, 0.000)
Mg (0.500, 0.500, 0.500)
Mg (0.625, 0.375, 0.250)
Mg (0.625, 0.750, 0.375)
Mg (0.750, 0.375, 0.625)
Mg (0.750, 0.875, 0.125)
Mg (0.875, 0.125, 0.750)
Mg (0.875, 0.250, 0.125)
H (0.027, 0.693, 0.656)
H (0.027, 0.834, 0.371)
H (0.037, 0.193, 0.166)
H (0.037, 0.344, 0.871)
H (0.129, 0.666, 0.473)
H (0.129, 0.963, 0.656)
H (0.156, 0.193, 0.527)
H (0.156, 0.463, 0.629)
H (0.166, 0.037, 0.193)
H (0.166, 0.629, 0.973)
H (0.193, 0.166, 0.037)
H (0.193, 0.527, 0.156)
H (0.307, 0.344, 0.973)
H (0.307, 0.463, 0.334)
H (0.334, 0.307, 0.463)
H (0.334, 0.527, 0.871)
H (0.344, 0.871, 0.037)
H (0.344, 0.973, 0.307)
H (0.371, 0.027, 0.834)
H (0.371, 0.844, 0.537)
H (0.463, 0.334, 0.307)
H (0.463, 0.629, 0.156)
H (0.473, 0.129, 0.666)
H (0.473, 0.844, 0.807)
H (0.527, 0.156, 0.193)
H (0.527, 0.871, 0.334)
H (0.537, 0.371, 0.844)
H (0.537, 0.666, 0.693)
H (0.629, 0.156, 0.463)
H (0.629, 0.973, 0.166)
H (0.656, 0.027, 0.693)
H (0.656, 0.129, 0.963)
H (0.666, 0.473, 0.129)
H (0.666, 0.693, 0.537)
H (0.693, 0.537, 0.666)
H (0.693, 0.656, 0.027)
H (0.807, 0.473, 0.844)
H (0.807, 0.834, 0.963)
H (0.834, 0.371, 0.027)
H (0.834, 0.963, 0.807)
H (0.844, 0.537, 0.371)
H (0.844, 0.807, 0.473)
H (0.871, 0.037, 0.344)
H (0.871, 0.334, 0.527)
H (0.963, 0.656, 0.129)
H (0.963, 0.807, 0.834)
H (0.973, 0.166, 0.629)
H (0.973, 0.307, 0.344)
Pd (0.125, 0.250, 0.375)
Pd (0.125, 0.375, 0.750)
Pd (0.250, 0.375, 0.125)
Pd (0.250, 0.875, 0.625)
Pd (0.375, 0.125, 0.250)
Pd (0.375, 0.750, 0.125)
Pd (0.625, 0.250, 0.875)
Pd (0.625, 0.875, 0.750)
Pd (0.750, 0.125, 0.375)
Pd (0.750, 0.625, 0.875)
Pd (0.875, 0.625, 0.250)
Pd (0.875, 0.750, 0.625)